First-principles (PBE with a Hubbard U) data for a relaxed AlV2ReO crystal, as listed in Alexandria via LeMat-Bulk.

## Properties
energy: -6.094 eV per atom

abc: 4.8954 4.8954 3.3063
angles: 90.00 90.00 90.00
Space group P4/mmm (No. 123)
Inequivalent atoms, fractional coordinates:
Al: 0.0000 0.0000 0.0000 x1
V: 0.0000 0.5000 0.0000 x2
Re: 0.5000 0.5000 0.5000 x1
O: 0.0000 0.0000 0.5000 x1